Density functional theory data (GGA-PBEsol) for a geometry-optimized TlAsIr2 structure.

POSCAR file:
```
TlAsIr2
1.0
-1.8973 1.8973 4.6268
1.8973 -1.8973 4.6268
1.8973 1.8973 -4.6268
Tl As Ir
1 1 2
direct
0.0000 0.0000 0.0000
0.7500 0.2500 0.5000
0.2500 0.7500 0.5000
0.5000 0.5000 0.0000
```

Computed properties:
Calculated density (g/cm³): 16.545
Space group: I-4m2
ΔE_f (eV per atom): 0.584
Spin magnetization (μB/f.u.): 0.0